No. 1
{
  "formula": "BaTcHg2",
  "functional": "PBEsol",
  "state": "relaxed",
  "crystal_system": "trigonal",
  "e_form_ev_per_fu": 1.2,
  "cell": [[4.647, 0.000, 0.000], [2.323, 4.024, 0.000], [2.323, 1.341, 5.852]],
  "species": ["Ba", "Hg", "Hg", "Tc"],
  "frac_coords": [[0.000, 0.000, 0.000], [0.207, 0.207, 0.380], [0.793, 0.793, 0.620], [0.500, 0.500, 0.500]]
}



No. 2
{
  "formula": "KReTe2",
  "functional": "PBEsol",
  "state": "relaxed",
  "crystal_system": "tetragonal",
  "relative_energy_mev_per_atom": 432,
  "formation_energy_uncorrected_mev_per_atom": 720.4,
  "cell": [[-0.426, -3.183, 0.729], [3.525, -1.314, -3.681], [3.849, 0.303, 3.577]],
  "species": ["K", "Re", "Te", "Te"],
  "frac_coords": [[0.500, 0.500, 0.500], [0.500, 0.000, 0.000], [0.000, 0.000, 0.500], [0.000, 0.500, 0.000]]
}



No. 3
{
  "formula": "K2NaInSb2",
  "functional": "PBEsol",
  "state": "relaxed",
  "crystal_system": "orthorhombic",
  "formation_energy_uncorrected_mev_per_atom": -464.2,
  "cell": [[-2.603, -2.949, -5.741], [-5.423, -7.016, 6.064], [-7.410, 7.753, -0.623]],
  "species": ["K", "K", "K", "K", "K", "K", "K", "K", "Na", "Na", "Na", "Na", "In", "In", "In", "In", "Sb", "Sb", "Sb", "Sb", "Sb", "Sb", "Sb", "Sb"],
  "frac_coords": [[0.250, 0.077, 0.423], [0.750, 0.423, 0.077], [0.750, 0.923, 0.577], [0.250, 0.577, 0.923], [0.220, 0.673, 0.327], [0.720, 0.827, 0.173], [0.780, 0.327, 0.673], [0.280, 0.173, 0.827], [0.000, 0.382, 0.382], [0.500, 0.118, 0.118], [0.000, 0.618, 0.618], [0.500, 0.882, 0.882], [0.000, 0.132, 0.132], [0.500, 0.368, 0.368], [0.000, 0.868, 0.868], [0.500, 0.632, 0.632], [0.250, 0.856, 0.644], [0.750, 0.644, 0.856], [0.750, 0.144, 0.356], [0.250, 0.356, 0.144], [0.204, 0.894, 0.106], [0.704, 0.606, 0.394], [0.796, 0.106, 0.894], [0.296, 0.394, 0.606]]
}



No. 4
{
  "formula": "SrYPt2",
  "functional": "PBEsol",
  "state": "relaxed",
  "crystal_system": "tetragonal",
  "relative_energy_mev_per_atom": 0,
  "e_form_ev_per_fu": -3.8,
  "cell": [[-1.834, 1.718, 2.434], [-2.972, -0.855, -1.636], [-0.431, -6.044, 3.943]],
  "species": ["Y", "Sr", "Pt", "Pt"],
  "frac_coords": [[0.500, 0.500, 0.000], [0.500, 0.500, 0.500], [0.000, 0.000, 0.786], [0.000, 0.000, 0.214]]
}



No. 5
{
  "formula": "Be2CuW",
  "functional": "PBEsol",
  "state": "relaxed",
  "crystal_system": "tetragonal",
  "relative_energy_mev_per_atom": 0,
  "e_form_ev_per_fu": 0.0,
  "cell": [[2.636, 0.000, 0.000], [0.000, 2.636, 0.000], [0.000, 0.000, 6.159]],
  "species": ["Be", "Be", "Cu", "W"],
  "frac_coords": [[0.000, 0.000, 0.787], [0.000, 0.000, 0.213], [0.500, 0.500, 0.000], [0.500, 0.500, 0.500]]
}



No. 6
{
  "formula": "SrZrSi2",
  "functional": "PBEsol",
  "state": "relaxed",
  "crystal_system": "tetragonal",
  "relative_energy_mev_per_atom": 0,
  "formation_energy_uncorrected_mev_per_atom": -357.0,
  "cell": [[-1.437, 2.358, 1.436], [-2.690, -1.561, -0.129], [1.671, -3.491, 7.405]],
  "species": ["Si", "Si", "Sr", "Zr"],
  "frac_coords": [[0.000, 0.000, 0.725], [0.000, 0.000, 0.275], [0.500, 0.500, 0.000], [0.500, 0.500, 0.500]]
}



No. 7
{
  "formula": "ZnIr2Rh",
  "functional": "PBEsol",
  "state": "relaxed",
  "crystal_system": "orthorhombic",
  "e_form_ev_per_fu": 0.3,
  "cell": [[-1.742, -1.354, 1.621], [2.595, -3.679, -0.284], [2.321, 1.356, 3.628]],
  "species": ["Ir", "Ir", "Rh", "Zn"],
  "frac_coords": [[0.000, 0.000, 0.000], [0.500, 0.500, 0.000], [0.500, 0.000, 0.500], [0.000, 0.500, 0.500]]
}



No. 8
{
  "formula": "RbCd2Ga2",
  "functional": "PBEsol",
  "state": "relaxed",
  "crystal_system": "tetragonal",
  "e_form_ev_per_fu": -0.2,
  "cell": [[4.741, 0.000, 0.000], [0.000, 4.741, 0.000], [-2.370, -2.370, 5.528]],
  "species": ["Ga", "Ga", "Rb", "Cd", "Cd"],
  "frac_coords": [[0.384, 0.384, 0.767], [0.616, 0.616, 0.233], [0.000, 0.000, 0.000], [0.250, 0.750, 0.500], [0.750, 0.250, 0.500]]
}



no.,total magnetization (μB/f.u.),total DFT energy (no corrections) (eV/atom)
1,1.82,-3.33
2,1.80,-4.66
3,0.00,-3.09
4,0.00,-6.60
5,0.00,-6.54
6,0.00,-5.96
7,0.00,-7.27
8,0.00,-2.06